(1)
DFT (PBE-GGA) results for crystalline Mn3FeIr12 at its relaxed geometry.

a = 3.8257 Å, b = 3.8257 Å, c = 15.2989 Å
α = 90.00°, β = 90.00°, γ = 90.00°
Last column: nearest neighbours and their distance in Å.
Sites, in units of the cell vectors:
Mn1 0.0000 0.0000 0.2508  12 Ir 2.69-2.71
Mn2 0.0000 0.0000 0.5000  12 Ir 2.71
Mn3 0.0000 0.0000 0.7492  12 Ir 2.69-2.71
Fe1 0.0000 0.0000 0.0000  12 Ir 2.71
Ir1 0.5000 0.5000 0.0000  4 Fe 2.71, 8 Ir 2.71
Ir2 0.5000 0.5000 0.2500  8 Ir 2.70, 4 Mn 2.71
Ir3 0.5000 0.5000 0.5000  4 Mn 2.71, 8 Ir 2.71
Ir4 0.5000 0.5000 0.7500  8 Ir 2.70, 4 Mn 2.71
Ir5 0.5000 0.0000 0.1252  8 Ir 2.70-2.71, 2 Fe 2.71, 2 Mn 2.71
Ir6 0.5000 0.0000 0.3747  4 Mn 2.69-2.71, 8 Ir 2.70-2.71
Ir7 0.5000 0.0000 0.6253  4 Mn 2.69-2.71, 8 Ir 2.70-2.71
Ir8 0.5000 0.0000 0.8748  8 Ir 2.70-2.71, 2 Fe 2.71, 2 Mn 2.71
Ir9 0.0000 0.5000 0.1252  8 Ir 2.70-2.71, 2 Fe 2.71, 2 Mn 2.71
Ir10 0.0000 0.5000 0.3747  4 Mn 2.69-2.71, 8 Ir 2.70-2.71
Ir11 0.0000 0.5000 0.6253  4 Mn 2.69-2.71, 8 Ir 2.70-2.71
Ir12 0.0000 0.5000 0.8748  8 Ir 2.70-2.71, 2 Fe 2.71, 2 Mn 2.71

Values from the calculation:
**DFT formation energy**: -0.13 eV/atom
**Size of the total moment**: 9.480 μB/f.u.


(2)
DFT (PBE-GGA) results for crystalline Mn6FeIr at its relaxed geometry.

a = 3.6235 Å, b = 5.1225 Å, c = 5.1225 Å
α = 90.30°, β = 90.00°, γ = 90.00°
Last column: nearest neighbours and their distance in Å.
Sites, in units of the cell vectors:
Mn1 0.0000 0.7576 0.2424  8 Mn 2.48-2.64, 2 Fe 2.53, 2 Ir 2.60
Mn2 0.0000 0.2424 0.7576  8 Mn 2.48-2.64, 2 Fe 2.53, 2 Ir 2.60
Mn3 0.0000 0.7582 0.7582  8 Mn 2.48-2.64, 2 Fe 2.52, 2 Ir 2.60
Mn4 0.0000 0.2418 0.2418  8 Mn 2.48-2.64, 2 Fe 2.52, 2 Ir 2.60
Mn5 0.5000 0.5000 0.0000  8 Mn 2.56-2.57, 2 Ir 2.56, 2 Fe 2.56
Mn6 0.5000 0.0000 0.5000  8 Mn 2.56-2.57, 2 Fe 2.56, 2 Ir 2.56
Fe1 0.5000 0.0000 0.0000  12 Mn 2.52-2.56
Ir1 0.5000 0.5000 0.5000  12 Mn 2.56-2.60

Values from the calculation:
**DFT formation energy**: -0.07 eV/atom
**Size of the total moment**: 1.758 μB/f.u.